# 1
{
  "formula": "BaYO3",
  "functional": "PBE-GGA",
  "state": "relaxed",
  "lattice_angstrom": [[4.447, 0.000, 0.000], [0.000, 4.447, 0.000], [0.000, 0.000, 4.447]],
  "species": ["Ba", "O", "O", "Y", "O"],
  "frac_coords": [[0.989, 0.999, 0.996], [0.488, 0.500, 0.998], [0.988, 0.502, 0.501], [0.488, 0.500, 0.498], [0.487, 0.000, 0.498]],
  "total_magnetization_mub_per_cell": 1.00,
  "dos_at_fermi_per_ev_fu": 3.7,
  "formation_energy_uncorrected_mev_per_atom": -2671.3,
  "volume_a3_per_cell": 88,
  "rho_g_cm3": 5.18,
  "space_group": "P1, No. 1"
}

# 2
{
  "formula": "TcTeSe2",
  "functional": "PBE-GGA",
  "state": "relaxed",
  "lattice_angstrom": [[6.102, 0.000, 1.772], [1.452, 7.119, -1.916], [-1.452, 7.119, 1.916]],
  "species": ["Se", "Se", "Tc", "Tc", "Se", "Se", "Te", "Te"],
  "frac_coords": [[0.829, 0.285, 0.358], [0.329, 0.142, 0.215], [0.750, 0.918, 0.418], [0.250, 0.082, 0.582], [0.171, 0.715, 0.642], [0.671, 0.858, 0.785], [0.750, 0.334, 0.834], [0.250, 0.666, 0.166]],
  "total_magnetization_mub_per_cell": 0.00,
  "dos_at_fermi_per_ev_fu": 3.2,
  "formation_energy_uncorrected_mev_per_atom": 26.0,
  "volume_a3_per_cell": 203,
  "rho_g_cm3": 6.27,
  "space_group": "C2/c, No. 15"
}